1.
DFT (meta-GGA SCAN) results for BeCr2SnPb at its PBEsol-relaxed geometry.

Summary:
Magnetization   7.05 μB/cell
Formation energy   0.5528 eV/atom
V   90 Å³/cell

Lattice parameters (Å, degrees): 4.489 4.489 4.461 90.00 90.00 90.00
Space group P4/mmm (No. 123)
One atom of each set of equivalent atoms:
Be 0.000 0.000 0.000 [1 per cell]
Cr 0.000 0.500 0.000 [2 per cell]
Sn 0.000 0.000 0.500 [1 per cell]
Pb 0.500 0.500 0.500 [1 per cell]



2.
DFT (meta-GGA SCAN) results for K2HgPb at its PBEsol-relaxed geometry.

Summary:
Magnetization   0.00 μB/cell
Formation energy   -0.1751 eV/atom
V   260 Å³/cell

Lattice parameters (Å, degrees): 4.923 4.923 10.719 90.00 90.00 90.00
Space group I4/mmm (No. 139)
One atom of each set of equivalent atoms:
K 0.000 0.500 0.250 [4 per cell]
Hg 0.000 0.000 0.000 [2 per cell]
Pb 0.000 0.000 0.500 [2 per cell]



3.
DFT (meta-GGA SCAN) results for NaAu3C at its PBEsol-relaxed geometry.

Summary:
Magnetization   0.00 μB/cell
Formation energy   0.3020 eV/atom
Energy relative to the lowest polymorph listed for this composition   0 meV/atom
V   82 Å³/cell

Lattice parameters (Å, degrees): 4.339 4.339 4.339 90.00 90.00 90.00
Space group Pm-3m (No. 221)
One atom of each set of equivalent atoms:
Na 0.000 0.000 0.000 [1 per cell]
Au 0.000 0.500 0.500 [3 per cell]
C 0.500 0.500 0.500 [1 per cell]



4.
DFT (meta-GGA SCAN) results for Cd2CuHg at its PBEsol-relaxed geometry.

Summary:
Magnetization   0.00 μB/cell
Formation energy   0.0459 eV/atom
V   156 Å³/cell

Lattice parameters (Å, degrees): 2.921 4.470 11.910 90.00 90.00 90.00
Space group Immm (No. 71)
One atom of each set of equivalent atoms:
Cd 0.000 0.000 0.194 [4 per cell]
Cu 0.000 0.500 0.500 [2 per cell]
Hg 0.000 0.500 0.000 [2 per cell]



5.
DFT (meta-GGA SCAN) results for PNCl3 at its PBEsol-relaxed geometry.

Summary:
Uncorrected formation energy   64.4 kJ per mole of atoms
Magnetization   3.01 μB/cell
Energy relative to the lowest polymorph listed for this composition   0 meV/atom
V   104 Å³/cell

Lattice parameters (Å, degrees): 4.698 4.698 4.698 90.00 90.00 90.00
Space group Pm-3m (No. 221)
One atom of each set of equivalent atoms:
P 0.000 0.000 0.000 [1 per cell]
N 0.500 0.500 0.500 [1 per cell]
Cl 0.000 0.000 0.500 [3 per cell]



6.
DFT (meta-GGA SCAN) results for MnAu2Br at its PBEsol-relaxed geometry.

Summary:
Uncorrected formation energy   -4.6 kJ per mole of atoms
Magnetization   9.73 μB/cell
Energy relative to the lowest polymorph listed for this composition   118 meV/atom
V   154 Å³/cell

Lattice parameters (Å, degrees): 3.799 3.799 10.689 90.00 90.00 90.00
Space group I4/mmm (No. 139)
One atom of each set of equivalent atoms:
Mn 0.000 0.000 0.000 [2 per cell]
Au 0.000 0.500 0.250 [4 per cell]
Br 0.000 0.000 0.500 [2 per cell]